4
Lattice="2.8512 0.0000 0.0000 0.0000 4.8365 0.0000 0.0000 0.0000 6.0580" Properties=species:S:1:pos:R:3 comment="LaTa3 (PBEsol, optimized geometry)" e_form_ev_per_atom=0.546 crystal_system=orthorhombic sg="No. 25" pbc="T T T"
Ta 1.4256 2.4182 4.5967
Ta 0.0000 2.4182 2.0610
Ta 1.4256 0.0000 3.2025
La 0.0000 0.0000 0.2364

=====

4
Lattice="-1.6649 2.3943 0.0271 -1.7630 -2.4644 4.7979 5.1450 2.3930 0.0594" Properties=species:S:1:pos:R:3 comment="LaTa3 (PBEsol, optimized geometry)" e_form_ev_per_atom=0.517 crystal_system=trigonal sg="No. 166" pbc="T T T"
Ta 1.6910 -0.0357 2.4286
Ta 1.7400 2.3936 0.0433
Ta -1.7140 -0.0351 2.4125
La 0.0000 0.0000 0.0000

=====

6
Lattice="2.9429 0.0000 0.0000 -1.4714 5.6270 0.0405 0.0000 -0.2670 8.2708" Properties=species:S:1:pos:R:3 comment="LaTa2 (PBEsol, optimized geometry)" e_form_ev_per_atom=0.523 crystal_system=monoclinic sg="No. 8" pbc="T T T"
La 1.4714 4.9381 0.1170
La 1.4714 2.1807 2.4249
Ta 1.4714 1.8278 7.2236
Ta 0.0000 3.5264 5.4211
Ta 0.0000 0.5556 5.2281
Ta 0.0000 4.9716 3.1544

=====

4
Lattice="3.1446 0.0000 0.0000 0.0000 5.1516 0.0086 -1.5723 -1.4098 4.8057" Properties=species:S:1:pos:R:3 comment="LaTaTc2 (PBEsol, optimized geometry)" e_form_ev_per_atom=0.332 crystal_system=monoclinic sg="No. 8" pbc="T T T"
Tc 0.0000 0.0550 0.0466
Tc 1.5723 0.2312 2.1093
La 0.0000 1.1364 4.7283
Ta 0.0000 3.4853 2.7401

=====

5
Lattice="5.4750 0.0000 0.0000 0.0000 5.4750 0.0000 0.0000 0.0000 5.4750" Properties=species:S:1:pos:R:3 comment="La3TaTc (PBEsol, optimized geometry)" e_form_ev_per_atom=1.323 crystal_system=cubic sg="No. 221" pbc="T T T"
La 0.0000 0.0000 2.7375
La 0.0000 2.7375 0.0000
La 2.7375 0.0000 0.0000
Ta 0.0000 0.0000 0.0000
Tc 2.7375 2.7375 2.7375

=====

4
Lattice="-2.5545 -0.3238 1.8456 1.8733 -0.3673 2.5284 -0.1112 7.8322 1.2202" Properties=species:S:1:pos:R:3 comment="LaTa2Tc (PBEsol, optimized geometry)" e_form_ev_per_atom=0.163 crystal_system=tetragonal sg="No. 99" pbc="T T T"
Ta -0.3711 1.7995 2.5212
Ta -0.0054 0.3772 0.0588
Tc -0.0500 3.5196 0.5483
La -0.4217 5.3609 3.0760

=====

Repeat the second record exactly.
4
Lattice="-1.6649 2.3943 0.0271 -1.7630 -2.4644 4.7979 5.1450 2.3930 0.0594" Properties=species:S:1:pos:R:3 comment="LaTa3 (PBEsol, optimized geometry)" e_form_ev_per_atom=0.517 crystal_system=trigonal sg="No. 166" pbc="T T T"
Ta 1.6910 -0.0357 2.4286
Ta 1.7400 2.3936 0.0433
Ta -1.7140 -0.0351 2.4125
La 0.0000 0.0000 0.0000